## Co2IrOs (meta-GGA SCAN)

Data for a crystal of Co2IrOs relaxed with PBEsol.

Properties
VASP energy: -44.2846 eV/atom
E_form: 0.112 eV per atom

abc: 3.6108 3.6108 7.4190
angles: 90.00 90.00 90.00
Closest atoms and distances in Å follow each position.
Space group I-4m2 (No. 119)
Unique sites:
Co 0.0000 0.0000 0.0000 x2  4 Ir 2.55, 4 Co 2.59, 4 Os 2.59
Co 0.0000 0.5000 0.2500 x2  4 Os 2.55, 4 Co 2.59, 4 Ir 2.59
Ir 0.0000 0.0000 0.5000 x2  8 Co 2.55-2.59, 4 Os 2.59
Os 0.0000 0.5000 0.7500 x2  8 Co 2.55-2.59, 4 Ir 2.59